Record 1
Here is Ag3PbF8 after structural relaxation from Alexandria via LeMat-Bulk. Energies are from GGA-PBE.

Fermi-level density of states (states/eV/f.u.): 5.109
Calculated volume (A^3/atom): 15.66
Space-group type: No. 147
Spin magnetization (μB per atom): 0.25
Energy (eV per atom): -3.4745

Cell: 5.6358 5.6358 6.8324 Å, 90.00 90.00 120.00°
Atoms (fractional coordinates):
F (0.3333, 0.6667, 0.4538)
F (0.6667, 0.3333, 0.5462)
Pb (0.0000, 0.0000, 0.5000)
Ag (0.0000, 0.0000, 0.0000)
Ag (0.3333, 0.6667, 0.1477)
F (0.0779, 0.3294, 0.8072)
F (0.3294, 0.2515, 0.1928)
F (0.9221, 0.6706, 0.1928)
F (0.2515, 0.9221, 0.8072)
F (0.6706, 0.7485, 0.8072)
Ag (0.6667, 0.3333, 0.8523)
F (0.7485, 0.0779, 0.1928)

Record 2
Here is Ag3PbF7 after structural relaxation from Alexandria via LeMat-Bulk. Energies are from GGA-PBE.

Fermi-level density of states (states/eV/f.u.): 6.739
Calculated volume (A^3/atom): 16.48
Space-group type: No. 8
Spin magnetization (μB per atom): 0.00
Energy (eV per atom): -3.7519

Cell: 5.7046 5.7046 6.8766 Å, 65.06 65.06 87.96°
Atoms (fractional coordinates):
Pb (0.9569, 0.9569, 0.0277)
F (0.9535, 0.3399, 0.7650)
Ag (0.4961, 0.4961, 0.0114)
F (0.0909, 0.6379, 0.2539)
F (0.3399, 0.9535, 0.7650)
Ag (0.2369, 0.7610, 0.5029)
F (0.6379, 0.0909, 0.2539)
Ag (0.7610, 0.2369, 0.5029)
F (0.1734, 0.1734, 0.1154)
F (0.6199, 0.6199, 0.2687)
F (0.8587, 0.8587, 0.7832)

Record 3
Here is Ag2Pb2F7 after structural relaxation from Alexandria via LeMat-Bulk. Energies are from GGA-PBE.

Fermi-level density of states (states/eV/f.u.): 6.865
Calculated volume (A^3/atom): 18.80
Space-group type: No. 12
Spin magnetization (μB per atom): 0.00
Energy (eV per atom): -4.1310

Cell: 5.9236 5.9572 5.9236 Å, 95.18 94.35 84.82°
Atoms (fractional coordinates):
Ag (0.7320, 0.0000, 0.7320)
F (0.5537, 0.2524, 0.9743)
Pb (0.7309, 0.4970, 0.2691)
F (0.0000, 0.5000, 0.0000)
F (0.4769, 0.7380, 0.5231)
Pb (0.2691, 0.5030, 0.7309)
Ag (0.2680, 0.0000, 0.2680)
F (0.9743, 0.7476, 0.5537)
F (0.5231, 0.2620, 0.4769)
F (0.0257, 0.2524, 0.4463)
F (0.4463, 0.7476, 0.0257)